The following is a DFT calculation (PBE+U) of a relaxed structure of LiNi2S3O12.

Output
Calculated volume   892.25 Å³/cell
Symmetry   P2_1/c, No. 14
Crystal system   monoclinic
Polymorph energy (0 for the lowest one)   0.002 eV per atom
Spin magnetization   4.95 μB/f.u.
E   -5.72 eV/atom

a = 8.499 Å, b = 8.719 Å, c = 12.041 Å
α = 90.00°, β = 89.77°, γ = 90.00°
Each line ends with the local moment (μB).
Fractional positions:
1 O 0.564 0.414 0.677  0.05
2 O 0.639 0.010 0.738  0.04
3 O 0.048 0.167 0.594  0.16
4 O 0.192 0.548 0.047  0.10
5 O 0.051 0.368 0.451  0.09
6 O 0.861 0.510 0.762  0.04
7 O 0.373 0.408 0.529  0.05
8 O 0.590 0.636 0.081  0.17
9 O 0.548 0.333 0.094  0.16
10 O 0.949 0.632 0.549  0.09
11 O 0.210 0.982 0.786  0.11
12 O 0.936 0.914 0.823  0.05
13 O 0.060 0.379 0.873  0.12
14 O 0.910 0.136 0.419  0.17
15 O 0.685 0.816 0.941  0.05
16 O 0.952 0.833 0.406  0.16
17 O 0.410 0.364 0.919  0.17
18 O 0.710 0.518 0.286  0.11
19 O 0.872 0.282 0.176  0.11
20 O 0.677 0.745 0.684  0.06
21 O 0.177 0.755 0.184  0.06
22 O 0.452 0.667 0.906  0.16
23 O 0.323 0.255 0.316  0.06
24 O 0.361 0.990 0.262  0.04
25 O 0.808 0.452 0.953  0.10
26 O 0.628 0.782 0.324  0.11
27 O 0.823 0.245 0.816  0.06
28 O 0.449 0.868 0.049  0.09
29 O 0.372 0.218 0.676  0.11
30 O 0.064 0.086 0.177  0.05
31 O 0.873 0.092 0.029  0.05
32 O 0.315 0.184 0.059  0.05
33 O 0.551 0.132 0.951  0.09
34 O 0.290 0.482 0.714  0.11
35 O 0.139 0.490 0.238  0.04
36 O 0.308 0.048 0.453  0.10
37 O 0.127 0.908 0.971  0.05
38 O 0.815 0.316 0.559  0.05
39 O 0.692 0.952 0.547  0.10
40 O 0.940 0.621 0.127  0.12
41 O 0.790 0.018 0.214  0.11
42 O 0.090 0.864 0.581  0.17
43 O 0.128 0.718 0.824  0.11
44 O 0.440 0.879 0.627  0.12
45 O 0.560 0.121 0.373  0.12
46 O 0.436 0.586 0.323  0.05
47 O 0.627 0.592 0.471  0.05
48 O 0.185 0.684 0.441  0.05
49 S 0.389 0.105 0.352  0.00
50 S 0.611 0.895 0.648  0.00
51 S 0.042 0.752 0.495  0.00
52 S 0.896 0.117 0.148  0.01
53 S 0.604 0.617 0.352  0.01
54 S 0.104 0.883 0.852  0.01
55 S 0.111 0.605 0.148  0.00
56 S 0.396 0.383 0.648  0.01
57 S 0.458 0.252 0.005  0.00
58 S 0.958 0.248 0.505  0.00
59 S 0.542 0.748 0.995  0.00
60 S 0.889 0.395 0.852  0.00
61 Ni 0.748 0.538 0.608  1.82
62 Ni 0.251 0.532 0.880  1.83
63 Ni 0.248 0.962 0.108  1.82
64 Ni 0.749 0.468 0.120  1.83
65 Ni 0.751 0.968 0.380  1.83
66 Ni 0.252 0.462 0.392  1.82
67 Ni 0.752 0.038 0.892  1.82
68 Ni 0.249 0.032 0.620  1.83
69 Li 0.190 0.281 0.182  0.00
70 Li 0.690 0.219 0.682  0.00
71 Li 0.310 0.781 0.318  0.00
72 Li 0.810 0.719 0.818  0.00